[1]
NdThCo2, relaxed, DFT PBE-GGA; E_form = -0.184 eV/atom; volume = 21.004 A^3/atom; DOS(E_F) = 2.71 states/eV per cell
1.0
-2.344 1.173 -2.756
0.411 -3.467 -1.824
-3.204 -2.611 4.241
Th Nd Co
1 1 2
direct
0.711 0.000 0.962
0.441 0.500 0.421
0.013 0.000 0.565
0.165 0.500 0.870

[2]
SmSc5Ga6, relaxed, DFT PBE-GGA; E_form = -0.576 eV/atom; volume = 19.796 A^3/atom; DOS(E_F) = 5.16 states/eV per cell
1.0
4.652 0.028 -1.341
-0.927 5.935 -3.091
-0.062 0.487 8.337
Sc Ga Sm
5 6 1
direct
0.330 0.330 0.661
0.339 0.839 0.677
0.661 0.161 0.323
0.670 0.670 0.339
0.000 0.500 0.000
0.828 0.567 0.656
0.172 0.911 0.344
0.500 0.727 0.000
0.500 0.273 0.000
0.828 0.089 0.656
0.172 0.433 0.344
0.000 0.000 0.000

[3]
LiNpBrO4, relaxed, DFT PBE-GGA; uncorrected formation energy = -1.786 eV per atom; volume = 16.772 A^3/atom; DOS(E_F) = 6.60 states/eV per cell
1.0
6.602 0.706 -0.143
2.853 5.995 -0.143
1.761 1.248 6.197
O Np Li Br
8 2 2 2
direct
0.576 0.576 0.138
0.534 0.957 0.814
0.466 0.043 0.186
0.043 0.466 0.186
0.957 0.534 0.814
0.424 0.424 0.862
0.328 0.328 0.525
0.672 0.672 0.475
0.737 0.737 0.170
0.263 0.263 0.830
0.606 0.606 0.787
0.394 0.394 0.213
0.982 0.982 0.235
0.018 0.018 0.765

[4]
Pr13Pb2, relaxed, DFT PBE-GGA; E_form = -0.110 eV/atom; volume = 34.797 A^3/atom; DOS(E_F) = 21.62 states/eV per cell
1.0
6.814 -0.140 0.713
-1.034 9.070 0.265
0.365 -4.081 8.335
Pr Pb
13 2
direct
0.392 0.608 0.409
0.608 0.392 0.591
0.299 0.376 0.978
0.000 0.000 0.000
0.288 0.046 0.634
0.701 0.624 0.022
0.896 0.436 0.247
0.474 0.170 0.180
0.805 0.194 0.791
0.104 0.564 0.753
0.712 0.954 0.366
0.526 0.830 0.820
0.195 0.806 0.209
0.082 0.232 0.433
0.918 0.768 0.567

[5]
Mn2NiIr2, relaxed, DFT PBE-GGA; E_form = 0.417 eV/atom; volume = 14.225 A^3/atom; DOS(E_F) = 6.32 states/eV per cell
1.0
-0.805 -1.773 -3.242
3.580 0.448 -1.134
2.591 -5.015 -0.107
Mn Ir Ni
2 2 1
direct
0.596 0.596 0.808
0.404 0.404 0.192
0.250 0.750 0.500
0.750 0.250 0.500
0.000 0.000 0.000

[6]
Nb2CdTcH, relaxed, DFT PBE-GGA; E_tot = -6.905 eV/atom; volume = 14.399 A^3/atom; DOS(E_F) = 3.12 states/eV per cell
1.0
-0.809 2.244 -3.458
-0.845 -3.539 -2.099
-3.918 0.283 1.100
Tc Nb Cd H
1 2 1 1
direct
0.000 0.000 0.500
0.500 0.000 0.000
0.000 0.500 0.000
0.500 0.500 0.500
0.000 0.000 0.000

Q: The highest DOS(E_F) belongs to which entry?
A: Pr13Pb2

Q: Look up the volume of the second one.
A: 19.796 A^3/atom

Q: What is the formula in the second record?
A: SmSc5Ga6

Q: Which formula does entry 5 have?
A: Mn2NiIr2